Material: K2ScBr
Method: DFT, PBE
State: optimized geometry

Geometry as CIF:
```
data_K2ScBr
_cell_length_a 6.843
_cell_length_b 3.936
_cell_length_c 11.542
_cell_angle_alpha 90.00
_cell_angle_beta 101.10
_cell_angle_gamma 90.00
_space_group_name_H-M_alt 'P 1'
_space_group_IT_number 1
loop_
_space_group_symop_operation_xyz
'x,y,z'
loop_
_atom_site_label
_atom_site_fract_x
_atom_site_fract_y
_atom_site_fract_z
_atom_site_occupancy
K1 0.232 0.000 0.198 1
K2 0.268 0.500 0.802 1
K3 0.732 0.500 0.198 1
K4 0.768 0.000 0.802 1
Sc1 0.000 0.000 0.500 1
Sc2 0.500 0.500 0.500 1
Br1 0.000 0.500 0.000 1
Br2 0.500 0.000 0.000 1
```

D(E_F) ... 4.2 states/eV/f.u.
Symmetry ... No. 12
ΔE_f (raw) ... -353 meV/atom
Offset from the most stable computed form ... 11 meV per atom



Material: K2NaSbF8
Method: DFT, PBE
State: optimized geometry

Geometry as CIF:
```
data_K2NaSbF8
_cell_length_a 5.181
_cell_length_b 5.874
_cell_length_c 7.871
_cell_angle_alpha 89.96
_cell_angle_beta 89.92
_cell_angle_gamma 86.98
_space_group_name_H-M_alt 'P 1'
_space_group_IT_number 1
loop_
_space_group_symop_operation_xyz
'x,y,z'
loop_
_atom_site_label
_atom_site_fract_x
_atom_site_fract_y
_atom_site_fract_z
_atom_site_occupancy
K1 0.000 0.001 0.229 1
K2 0.000 0.999 0.771 1
Na1 0.500 0.500 0.000 1
Sb1 0.500 0.500 0.500 1
F1 0.233 0.783 0.000 1
F2 0.254 0.758 0.500 1
F3 0.307 0.355 0.674 1
F4 0.309 0.356 0.325 1
F5 0.691 0.644 0.675 1
F6 0.693 0.645 0.326 1
F7 0.746 0.242 0.500 1
F8 0.767 0.217 0.000 1
```

D(E_F) ... 0.0 states/eV/f.u.
Symmetry ... No. 2
ΔE_f (raw) ... -2568 meV/atom



Material: Li5CdCu
Method: DFT, PBE
State: optimized geometry

Geometry as CIF:
```
data_Li5CdCu
_cell_length_a 4.917
_cell_length_b 4.917
_cell_length_c 10.243
_cell_angle_alpha 100.43
_cell_angle_beta 100.43
_cell_angle_gamma 92.01
_space_group_name_H-M_alt 'P 1'
_space_group_IT_number 1
loop_
_space_group_symop_operation_xyz
'x,y,z'
loop_
_atom_site_label
_atom_site_fract_x
_atom_site_fract_y
_atom_site_fract_z
_atom_site_occupancy
Li1 0.008 0.992 0.750 1
Li2 0.071 0.481 0.631 1
Li3 0.209 0.495 0.938 1
Li4 0.481 0.071 0.131 1
Li5 0.495 0.209 0.438 1
Li6 0.505 0.791 0.562 1
Li7 0.519 0.929 0.869 1
Li8 0.791 0.505 0.062 1
Li9 0.929 0.519 0.369 1
Li10 0.992 0.008 0.250 1
Cd1 0.386 0.614 0.250 1
Cd2 0.614 0.386 0.750 1
Cu1 0.000 0.000 0.000 1
Cu2 0.000 0.000 0.500 1
```

D(E_F) ... 3.1 states/eV/f.u.
Symmetry ... No. 15
Offset from the most stable computed form ... 0 meV per atom
Calculated formation energy ... -0.0388 eV per atom